No. 1
{
  "formula": "La2Tb3PmTe6",
  "functional": "PBE-GGA",
  "state": "optimized geometry",
  "lattice_angstrom": [[4.4334, 0.0000, 0.0000], [0.0000, 8.9691, 0.2647], [-2.2167, -2.6426, 9.3729]],
  "species": ["La", "La", "Tb", "Tb", "Tb", "Pm", "Te", "Te", "Te", "Te", "Te", "Te"],
  "fractional_positions": [[0.8344, 0.6688, 0.6688], [0.1656, 0.3312, 0.3312], [0.5000, 0.5000, 0.0000], [0.8321, 0.1663, 0.6641], [0.1679, 0.8337, 0.3359], [0.5000, 0.0000, 0.0000], [0.3323, 0.9273, 0.6647], [0.6635, 0.5911, 0.3271], [0.6677, 0.0727, 0.3353], [0.9956, 0.2532, 0.9912], [0.0044, 0.7468, 0.0088], [0.3365, 0.4089, 0.6729]],
  "total_energy_ev_per_atom": -5.3707,
  "space_group": "C2/m (12)"
}

No. 2
{
  "formula": "La3Tb2PmTe6",
  "functional": "PBE-GGA",
  "state": "optimized geometry",
  "lattice_angstrom": [[4.4742, 0.0000, 0.0000], [0.0000, 9.0217, 0.3096], [-2.2371, -2.6121, 9.4366]],
  "species": ["La", "La", "La", "Tb", "Tb", "Pm", "Te", "Te", "Te", "Te", "Te", "Te"],
  "fractional_positions": [[0.5000, 0.5000, 0.0000], [0.8357, 0.1672, 0.6713], [0.1643, 0.8328, 0.3287], [0.8341, 0.6680, 0.6682], [0.1659, 0.3320, 0.3318], [0.5000, 0.0000, 0.0000], [0.3337, 0.9067, 0.6674], [0.6705, 0.5748, 0.3409], [0.6663, 0.0933, 0.3326], [0.0043, 0.2473, 0.0085], [0.9957, 0.7527, 0.9915], [0.3295, 0.4252, 0.6591]],
  "total_energy_ev_per_atom": -5.4439,
  "space_group": "C2/m (12)"
}

No. 3
{
  "formula": "La3TbPm2Te6",
  "functional": "PBE-GGA",
  "state": "optimized geometry",
  "lattice_angstrom": [[4.4950, 0.0000, 0.0000], [0.0000, 9.0431, 0.3376], [-2.2475, -2.5899, 9.4651]],
  "species": ["La", "La", "La", "Tb", "Pm", "Pm", "Te", "Te", "Te", "Te", "Te", "Te"],
  "fractional_positions": [[0.5000, 0.5000, 0.0000], [0.8312, 0.1664, 0.6624], [0.1688, 0.8336, 0.3376], [0.5000, 0.0000, 0.0000], [0.8325, 0.6656, 0.6649], [0.1675, 0.3344, 0.3351], [0.3379, 0.9142, 0.6758], [0.6678, 0.5790, 0.3356], [0.6621, 0.0858, 0.3242], [0.0009, 0.2400, 0.0019], [0.9991, 0.7600, 0.9981], [0.3322, 0.4210, 0.6644]],
  "total_energy_ev_per_atom": -5.4698,
  "space_group": "C2/m (12)"
}

Please write out number 2 again, unchanged.
{
  "formula": "La3Tb2PmTe6",
  "functional": "PBE-GGA",
  "state": "optimized geometry",
  "lattice_angstrom": [[4.4742, 0.0000, 0.0000], [0.0000, 9.0217, 0.3096], [-2.2371, -2.6121, 9.4366]],
  "species": ["La", "La", "La", "Tb", "Tb", "Pm", "Te", "Te", "Te", "Te", "Te", "Te"],
  "fractional_positions": [[0.5000, 0.5000, 0.0000], [0.8357, 0.1672, 0.6713], [0.1643, 0.8328, 0.3287], [0.8341, 0.6680, 0.6682], [0.1659, 0.3320, 0.3318], [0.5000, 0.0000, 0.0000], [0.3337, 0.9067, 0.6674], [0.6705, 0.5748, 0.3409], [0.6663, 0.0933, 0.3326], [0.0043, 0.2473, 0.0085], [0.9957, 0.7527, 0.9915], [0.3295, 0.4252, 0.6591]],
  "total_energy_ev_per_atom": -5.4439,
  "space_group": "C2/m (12)"
}